{
  "formula": "MnRuPb2O8",
  "functional": "PBE+U",
  "state": "relaxed",
  "crystal_system": "monoclinic",
  "final_energy_ha_per_atom": -0.2300,
  "lattice": [[4.807, -0.050, -0.003], [-0.032, 4.801, -0.005], [0.004, 0.007, 6.734]],
  "species": ["Mn", "Ru", "Pb", "Pb", "O", "O", "O", "O", "O", "O", "O", "O"],
  "frac_coords": [[0.000, 0.000, 0.500], [0.000, 0.000, 0.000], [0.500, 0.500, 0.747], [0.500, 0.500, 0.253], [0.178, 0.820, 0.231], [0.716, 0.718, 0.000], [0.822, 0.180, 0.231], [0.822, 0.180, 0.769], [0.284, 0.282, 0.000], [0.178, 0.820, 0.769], [0.711, 0.712, 0.500], [0.289, 0.288, 0.500]]
}